A relaxed Fe2ReAg crystal, computed with GGA-PBE.

Properties
- energy above the lowest structure with this stoichiometry (eV per atom) = 0.252
- E_form (eV per atom) = 0.553
- theoretical density (g/cm3) = 12.4

abc: 4.702 4.702 4.702
angles: 133.23 133.23 68.30
Fractional positions:
Ag 0.750 0.250 0.500
Fe 0.000 0.000 0.000
Fe 0.250 0.750 0.500
Re 0.500 0.500 0.000